A relaxed La6Si2SbTe3 crystal, computed with PBE-GGA.

The space group is C2/m (No. 12) and the conventional cell measures 19.8479, 4.5153 and 9.1533 Å, with angles of 90.00, 103.85 and 90.00 degrees. The distinct sites, in fractional coordinates, are La at (0.0091, 0.0000, 0.2508), La at (0.1674, 0.5000, 0.1049), La at (0.1729, 0.5000, 0.5689), Si at (0.1673, 0.0000, 0.3340), Sb at (0.0000, 0.5000, 0.0000), Te at (0.0000, 0.5000, 0.5000) and Te at (0.1636, 0.0000, 0.8333).

Its uncorrected formation energy is -1287 meV/atom. For the magnetization, the calculation gives 0.0 μB per formula unit.